Gd2Zn6Ge3: relaxed, GGA-PBE.

Volume: 18.44 Å³ per atom
Crystal system: hexagonal
VASP energy: -4.9068 eV per atom
Spin magnetization: 14.1 μB per formula unit
Energy of formation: -0.392 eV/atom

Lattice parameters (Å, degrees): 7.6155 7.6155 4.0382 90.00 90.00 120.00
Space group P-62m (No. 189)
Unique sites:
Gd (0.3333, 0.6667, 0.0000)
Zn (0.0000, 0.1911, 0.0000)
Zn (0.0000, 0.7171, 0.5000)
Ge (0.0000, 0.3895, 0.5000)

---

Sc5RuRh4: relaxed, GGA-PBE.

Volume: 16.74 Å³ per atom
Crystal system: tetragonal
VASP energy: -7.9840 eV per atom
Spin magnetization: 0.0 μB per formula unit
Energy of formation: -0.950 eV/atom

Lattice parameters (Å, degrees): 3.222 3.222 16.126 90.00 90.00 90.00
Space group P4/mmm (No. 123)
Unique sites:
Sc (0.000, 0.000, 0.000)
Sc (0.000, 0.000, 0.202)
Sc (0.000, 0.000, 0.403)
Ru (0.500, 0.500, 0.500)
Rh (0.500, 0.500, 0.100)
Rh (0.500, 0.500, 0.299)

---

Sr3PmY2Se6: relaxed, GGA-PBE.

Volume: 27.46 Å³ per atom
Crystal system: monoclinic
VASP energy: -5.5370 eV per atom
Formation energy from raw total energies: -1.901 eV per atom
Spin magnetization: 0.0 μB per formula unit

Lattice parameters (Å, degrees): 7.334 12.687 7.494 90.00 109.06 90.00
Space group C2/m (No. 12)
Unique sites:
Sr (0.000, 0.000, 0.000)
Sr (0.000, 0.335, 0.000)
Pm (0.000, 0.500, 0.500)
Y (0.000, 0.167, 0.500)
Se (0.238, 0.000, 0.733)
Se (0.248, 0.330, 0.734)

---

BaEu2Pd: relaxed, GGA-PBE.

Volume: 41.83 Å³ per atom
Distance to the lowest polymorph of the same formula: 70 meV per atom
Crystal system: trigonal
VASP energy: -7.1419 eV per atom
Spin magnetization: 14.0 μB per formula unit
Energy of formation: -0.226 eV/atom

Lattice parameters (Å, degrees): 4.1612 4.1612 33.4752 90.00 90.00 120.00
Space group R-3m (No. 166, hexagonal axes)
Unique sites:
Ba (0.0000, 0.0000, 0.0000)
Eu (0.0000, 0.0000, 0.1156)
Pd (0.0000, 0.0000, 0.5000)

---

PrNpInO6: relaxed, GGA-PBE.

Volume: 15.51 Å³ per atom
Crystal system: trigonal
VASP energy: -8.1718 eV per atom
Formation energy from raw total energies: -2.593 eV per atom
Spin magnetization: 1.0 μB per formula unit

Lattice parameters (Å, degrees): 5.5777 5.5777 10.3601 90.00 90.00 120.00
Space group P-31c (No. 163)
Unique sites:
Pr (0.0000, 0.0000, 0.0000)
Np (0.3333, 0.6667, 0.2500)
In (0.3333, 0.6667, 0.7500)
O (0.0165, 0.3609, 0.1384)

---

Li7Cd2Hg2: relaxed, GGA-PBE.

Volume: 19.51 Å³ per atom
Distance to the lowest polymorph of the same formula: 17 meV per atom
Crystal system: triclinic
VASP energy: -1.6532 eV per atom
Spin magnetization: 0.0 μB per formula unit
Energy of formation: -0.214 eV/atom

Lattice parameters (Å, degrees): 5.498 6.094 7.397 90.30 108.39 112.72
Space group P-1 (No. 2)
Unique sites:
Li (0.000, 0.000, 0.000)
Li (0.204, 0.701, 0.450)
Li (0.475, 0.032, 0.786)
Li (0.477, 0.496, 0.199)
Cd (0.205, 0.181, 0.427)
Hg (0.140, 0.630, 0.874)

---

Cu2SiAs: relaxed, GGA-PBE.

Volume: 14.61 Å³ per atom
Crystal system: monoclinic
VASP energy: -4.4297 eV per atom
Formation energy from raw total energies: 0.137 eV per atom
Spin magnetization: 0.0 μB per formula unit

Lattice parameters (Å, degrees): 7.714 2.874 5.416 90.00 103.21 90.00
Space group C2/m (No. 12)
Unique sites:
Cu (0.245, 0.000, 0.210)
Si (0.000, 0.500, 0.000)
As (0.000, 0.000, 0.500)

---

Pm3Pr5Nd: relaxed, GGA-PBE.

Volume: 36.50 Å³ per atom
Distance to the lowest polymorph of the same formula: 0 meV per atom
Crystal system: monoclinic
VASP energy: -4.5145 eV per atom
Spin magnetization: 0.0 μB per formula unit
Energy of formation: 0.254 eV/atom

Lattice parameters (Å, degrees): 20.850 6.328 11.762 90.00 122.15 90.00
Space group C2/c (No. 15)
Unique sites:
Pm (0.000, 0.000, 0.000)
Pm (0.178, 0.231, 0.027)
Pr (0.000, 0.413, 0.250)
Pr (0.141, 0.315, 0.653)
Pr (0.179, 0.198, 0.337)
Nd (0.000, 0.104, 0.750)

---

TiMnBi2: relaxed, GGA-PBE.

Volume: 20.30 Å³ per atom
Distance to the lowest polymorph of the same formula: 0 meV per atom
Crystal system: cubic
VASP energy: -5.7036 eV per atom
Spin magnetization: 1.2 μB per formula unit
Energy of formation: 0.503 eV/atom

Lattice parameters (Å, degrees): 6.874 6.874 6.874 90.00 90.00 90.00
Space group Fm-3m (No. 225)
Unique sites:
Ti (0.000, 0.000, 0.000)
Mn (0.000, 0.000, 0.500)
Bi (0.250, 0.250, 0.250)

---

TiMnGa2Sn: relaxed, GGA-PBE.

Volume: 29.16 Å³ per atom
Crystal system: tetragonal
VASP energy: -4.3412 eV per atom
Spin magnetization: 1.4 μB per formula unit
Energy of formation: 1.083 eV/atom

Lattice parameters (Å, degrees): 5.361 5.361 5.074 90.00 90.00 90.00
Space group P4/mmm (No. 123)
Unique sites:
Ti (0.000, 0.000, 0.000)
Mn (0.500, 0.500, 0.000)
Ga (0.000, 0.500, 0.500)
Sn (0.500, 0.500, 0.500)

---

Pm2PuBe3Pt4: relaxed, GGA-PBE.

Volume: 18.20 Å³ per atom
Crystal system: tetragonal
VASP energy: -6.6718 eV per atom
Spin magnetization: 5.8 μB per formula unit
Energy of formation: -0.754 eV/atom

Lattice parameters (Å, degrees): 4.105 4.105 10.796 90.00 90.00 90.00
Space group P-4m2 (No. 115)
Unique sites:
Pm (0.000, 0.500, 0.226)
Pu (0.000, 0.000, 0.500)
Be (0.000, 0.500, 0.893)
Be (0.500, 0.500, 0.500)
Pt (0.000, 0.000, 0.000)
Pt (0.000, 0.500, 0.673)
Pt (0.500, 0.500, 0.000)

---

ZnCdAgHg: relaxed, GGA-PBE.

Volume: 19.38 Å³ per atom
Crystal system: cubic
VASP energy: -1.2285 eV per atom
Spin magnetization: 0.0 μB per formula unit
Energy of formation: 0.107 eV/atom

Lattice parameters (Å, degrees): 6.768 6.768 6.768 90.00 90.00 90.00
Space group F-43m (No. 216)
Unique sites:
Zn (0.000, 0.000, 0.000)
Cd (0.000, 0.000, 0.500)
Ag (0.250, 0.250, 0.250)
Hg (0.250, 0.250, 0.750)

---

Rb3Tl4Sb2: relaxed, GGA-PBE.

Volume: 40.58 Å³ per atom
Distance to the lowest polymorph of the same formula: 9 meV per atom
Crystal system: monoclinic
VASP energy: -2.4993 eV per atom
Formation energy from raw total energies: -0.209 eV per atom
Spin magnetization: 0.0 μB per formula unit

Lattice parameters (Å, degrees): 13.866 4.910 11.021 90.00 103.23 90.00
Space group C2/m (No. 12)
Unique sites:
Rb (0.000, 0.000, 0.000)
Rb (0.184, 0.500, 0.617)
Tl (0.003, 0.000, 0.340)
Tl (0.235, 0.000, 0.892)
Sb (0.109, 0.500, 0.262)

---

Ac8La3Tb2: relaxed, GGA-PBE.

Volume: 42.71 Å³ per atom
Crystal system: monoclinic
VASP energy: -4.1701 eV per atom
Spin magnetization: 0.0 μB per formula unit
Energy of formation: 0.208 eV/atom

Lattice parameters (Å, degrees): 21.376 8.372 6.205 90.00 90.04 90.00
Space group C2/m (No. 12)
Unique sites:
Ac (0.108, 0.212, 0.001)
Ac (0.135, 0.500, 0.500)
Ac (0.177, 0.000, 0.501)
La (0.000, 0.204, 0.500)
La (0.000, 0.500, 0.000)
Tb (0.241, 0.500, 0.999)

---

CrCSeN2: relaxed, GGA-PBE.

Volume: 10.21 Å³ per atom
Distance to the lowest polymorph of the same formula: 727 meV per atom
Crystal system: tetragonal
VASP energy: -5.5455 eV per atom
Formation energy from raw total energies: 2.251 eV per atom
Spin magnetization: 0.3 μB per formula unit

Lattice parameters (Å, degrees): 3.550 3.550 4.052 90.00 90.00 90.00
Space group P4/mmm (No. 123)
Unique sites:
Cr (0.000, 0.000, 0.000)
C (0.500, 0.500, 0.500)
Se (0.500, 0.500, 0.000)
N (0.000, 0.500, 0.500)

---

Si2SbOs: relaxed, GGA-PBE.

Volume: 23.46 Å³ per atom
Crystal system: tetragonal
VASP energy: -6.1904 eV per atom
Formation energy from raw total energies: 0.359 eV per atom
Spin magnetization: 0.0 μB per formula unit

Lattice parameters (Å, degrees): 5.781 5.781 11.234 90.00 90.00 90.00
Space group I-42d (No. 122)
Unique sites:
Si (0.196, 0.250, 0.125)
Sb (0.000, 0.000, 0.500)
Os (0.000, 0.000, 0.000)

---

TbPu5Pb6: relaxed, GGA-PBE.

Volume: 28.04 Å³ per atom
Crystal system: orthorhombic
VASP energy: -8.4289 eV per atom
Spin magnetization: 5.5 μB per formula unit
Energy of formation: -0.217 eV/atom

Lattice parameters (Å, degrees): 4.892 14.756 9.324 90.00 90.00 90.00
Space group Cmmm (No. 65)
Unique sites:
Tb (0.000, 0.000, 0.000)
Pu (0.000, 0.000, 0.500)
Pu (0.000, 0.327, 0.000)
Pu (0.000, 0.332, 0.500)
Pb (0.000, 0.165, 0.250)
Pb (0.000, 0.500, 0.248)

---

Tb2Cd5Hg12: relaxed, GGA-PBE.

Volume: 25.09 Å³ per atom
Distance to the lowest polymorph of the same formula: 0 meV per atom
Crystal system: monoclinic
VASP energy: -1.0272 eV per atom
Spin magnetization: 0.0 μB per formula unit
Energy of formation: -0.108 eV/atom

Lattice parameters (Å, degrees): 17.677 10.480 5.377 90.00 106.81 90.00
Space group C2/m (No. 12)
Unique sites:
Tb (0.000, 0.234, 0.000)
Cd (0.000, 0.000, 0.500)
Cd (0.201, 0.000, 0.612)
Cd (0.201, 0.500, 0.804)
Hg (0.054, 0.500, 0.288)
Hg (0.102, 0.253, 0.610)
Hg (0.113, 0.000, 0.054)
Hg (0.190, 0.280, 0.197)

---

LiTeP2S: relaxed, GGA-PBE.

Volume: 18.20 Å³ per atom
Distance to the lowest polymorph of the same formula: 0 meV per atom
Crystal system: tetragonal
VASP energy: -3.2994 eV per atom
Formation energy from raw total energies: 0.701 eV per atom
Spin magnetization: 0.0 μB per formula unit

Lattice parameters (Å, degrees): 4.565 4.565 4.367 90.00 90.00 90.00
Space group P4/mmm (No. 123)
Unique sites:
Li (0.000, 0.000, 0.000)
Te (0.500, 0.500, 0.500)
P (0.000, 0.500, 0.000)
S (0.000, 0.000, 0.500)

---

Yb3Mg: relaxed, GGA-PBE.

Volume: 35.33 Å³ per atom
Crystal system: hexagonal
VASP energy: -1.5546 eV per atom
Spin magnetization: 0.0 μB per formula unit
Energy of formation: -0.011 eV/atom

Lattice parameters (Å, degrees): 7.3778 7.3778 5.9962 90.00 90.00 120.00
Space group P6_3/mmc (No. 194)
Unique sites:
Yb (0.1700, 0.3400, 0.2500)
Mg (0.3333, 0.6667, 0.7500)

---

Ca2Mg2Sb2N: relaxed, GGA-PBE.

Volume: 22.58 Å³ per atom
Crystal system: tetragonal
VASP energy: -4.1877 eV per atom
Formation energy from raw total energies: -0.793 eV per atom
Spin magnetization: 0.0 μB per formula unit

Lattice parameters (Å, degrees): 4.459 4.459 15.897 90.00 90.00 90.00
Space group I4/mmm (No. 139)
Unique sites:
Ca (0.000, 0.000, 0.154)
Mg (0.000, 0.500, 0.000)
Sb (0.000, 0.000, 0.362)
N (0.000, 0.000, 0.000)

---

NdSm2Dy3Y6: relaxed, GGA-PBE.

Volume: 32.46 Å³ per atom
Crystal system: monoclinic
VASP energy: -5.5488 eV per atom
Spin magnetization: 0.0 μB per formula unit
Energy of formation: 0.018 eV/atom

Lattice parameters (Å, degrees): 6.212 10.750 11.846 90.00 100.01 90.00
Space group C2/m (No. 12)
Unique sites:
Nd (0.000, 0.000, 0.000)
Sm (0.000, 0.333, 0.000)
Dy (0.000, 0.167, 0.500)
Dy (0.000, 0.500, 0.500)
Y (0.249, 0.000, 0.747)
Y (0.249, 0.333, 0.748)

---

BaTa2CuSi: relaxed, GGA-PBE.

Volume: 27.54 Å³ per atom
Crystal system: tetragonal
VASP energy: -5.8635 eV per atom
Formation energy from raw total energies: 1.166 eV per atom
Spin magnetization: 2.0 μB per formula unit

Lattice parameters (Å, degrees): 4.796 4.796 5.986 90.00 90.00 90.00
Space group P4/mmm (No. 123)
Unique sites:
Ba (0.000, 0.000, 0.000)
Ta (0.000, 0.500, 0.500)
Cu (0.500, 0.500, 0.000)
Si (0.000, 0.000, 0.500)